Entry 1:
A plane-wave DFT calculation with GGA-PBE was carried out for crystalline NaCaLaRh2 at its relaxed geometry.

a b c (Å): 5.043 5.043 5.543
angles (deg): 90.00 90.00 90.00
Space group P4/mmm (No. 123)
Unique sites:
Na 0.000 0.000 0.000
Ca 0.500 0.500 0.000
La 0.000 0.000 0.500
Rh 0.000 0.500 0.500

final energy: -21.2 eV per cell
formation energy from the elements: 0.346 eV per atom

Entry 2:
A plane-wave DFT calculation with GGA-PBE was carried out for crystalline KNb3Cu at its relaxed geometry.

a b c (Å): 4.594 4.594 4.594
angles (deg): 90.00 90.00 90.00
Space group Pm-3m (No. 221)
Unique sites:
K 0.000 0.000 0.000
Nb 0.000 0.000 0.500
Cu 0.500 0.500 0.500

final energy: -21.8 eV per cell
formation energy from the elements: 2.717 eV per atom

Entry 3:
A plane-wave DFT calculation with GGA-PBE was carried out for crystalline PmZrI at its relaxed geometry.

a b c (Å): 5.601 5.601 12.490
angles (deg): 90.00 90.06 90.00
Space group C2/m (No. 12)
Unique sites:
Pm 0.249 0.000 0.287
Zr 0.250 0.000 0.548
I 0.249 0.500 0.145

final energy: -65.7 eV per cell
formation energy (no corrections): -0.5293 eV per atom

Entry 4:
A plane-wave DFT calculation with GGA-PBE was carried out for crystalline Rb3GeP at its relaxed geometry.

a b c (Å): 6.513 6.513 6.513
angles (deg): 90.00 90.00 90.00
Space group Pm-3m (No. 221)
Unique sites:
Rb 0.000 0.000 0.500
Ge 0.500 0.500 0.500
P 0.000 0.000 0.000

final energy: -11.2 eV per cell
formation energy from the elements: 0.337 eV per atom

Entry 5:
A plane-wave DFT calculation with GGA-PBE was carried out for crystalline HoZr4Ge4 at its relaxed geometry.

a b c (Å): 8.855 8.855 5.401
angles (deg): 90.00 90.00 90.00
Space group P4_2/n (No. 86, origin choice 2)
Unique sites:
Ho 0.250 0.250 0.250
Zr 0.104 0.639 0.140
Ge 0.044 0.608 0.651

final energy: -124.0 eV per cell
formation energy from the elements: -0.528 eV per atom

Entry 6:
A plane-wave DFT calculation with GGA-PBE was carried out for crystalline Nb2CdO6 at its relaxed geometry.

a b c (Å): 9.1616 9.1616 4.6893
angles (deg): 90.00 90.00 120.00
Space group P321 (No. 150)
Unique sites:
Nb 0.0000 0.3649 0.0000
Nb 0.0000 0.6988 0.5000
Cd 0.0000 0.0000 0.0000
Cd 0.3333 0.6667 0.5224
O 0.0864 0.5502 0.2561
O 0.1181 0.2436 0.2532
O 0.2027 0.4136 0.7586

final energy: -211.3 eV per cell
formation energy (no corrections): -2.1796 eV per atom

Entry 7:
A plane-wave DFT calculation with GGA-PBE was carried out for crystalline LaSe2Br at its relaxed geometry.

a b c (Å): 4.881 4.881 21.519
angles (deg): 90.00 90.00 90.00
Space group I-42d (No. 122)
Unique sites:
La 0.000 0.000 0.000
Se 0.080 0.250 0.125
Br 0.000 0.000 0.500

final energy: -73.8 eV per cell
formation energy (no corrections): -1.2212 eV per atom

Entry 8:
A plane-wave DFT calculation with GGA-PBE was carried out for crystalline Li2Te2Os at its relaxed geometry.

a b c (Å): 7.082 7.082 4.229
angles (deg): 90.00 90.00 90.00
Space group P4/mbm (No. 127)
Unique sites:
Li 0.155 0.345 0.000
Te 0.162 0.662 0.500
Os 0.000 0.000 0.500

final energy: -42.7 eV per cell
formation energy (no corrections): -0.0039 eV per atom